# Na2Pm2TaS6

An optimized crystal structure of Na2Pm2TaS6 (GGA-PBE, Alexandria).

abc: 6.747 6.747 7.160
angles: 99.23 99.23 119.17
Sites, in units of the cell vectors:
1 Na 0.831 0.169 0.000
2 Na 0.169 0.831 0.000
3 Pm 0.335 0.665 0.500
4 Pm 0.665 0.335 0.500
5 Ta 0.000 0.000 0.500
6 S 0.777 0.777 0.720
7 S 0.071 0.375 0.720
8 S 0.223 0.223 0.280
9 S 0.375 0.071 0.720
10 S 0.929 0.625 0.280
11 S 0.625 0.929 0.280

Computed properties:
Uncorrected energy: -5.924 eV/atom
ρ: 4.36 Mg/m³
Symmetry: C2/m (12)
ΔE_f (raw): -1.491 eV per atom
Fermi-level density of states: 4.96 states/eV/cell